A plane-wave DFT calculation with GGA-PBE was carried out for a relaxed LiIrOs2 crystal.

a b c (Å): 4.2673 4.2673 4.2673
angles (deg): 60.00 60.00 60.00
With the nearest neighbours (Å) after each atom.
Positions (direct):
1 Ir 0.5000 0.5000 0.5000  8 Os 2.61
2 Os 0.7500 0.7500 0.7500  4 Li 2.61, 4 Ir 2.61
3 Os 0.2500 0.2500 0.2500  4 Ir 2.61, 4 Li 2.61
4 Li 0.0000 0.0000 0.0000  8 Os 2.61

* space-group type: No. 225
* total magnetic moment: 0.000 μB per formula unit
* formation energy from the elements: 0.430 eV/atom
* ΔE to the lowest computed polymorph: 0.316 eV/atom

---

A plane-wave DFT calculation with GGA-PBE was carried out for a relaxed LiIrOs2 crystal.

a b c (Å): 2.7206 3.9717 5.0922
angles (deg): 90.00 90.00 90.00
With the nearest neighbours (Å) after each atom.
Positions (direct):
1 Os 0.0000 0.0000 0.9868  2 Os 2.41-2.68, 4 Li 2.69
2 Os 0.0000 0.0000 0.5132  2 Os 2.41-2.68, 4 Li 2.69
3 Li 0.5000 0.5000 0.7500  2 Ir 2.55, 8 Os 2.69, 2 Li 2.72
4 Ir 0.5000 0.5000 0.2500  2 Li 2.55, 2 Ir 2.72, 8 Os 2.76

* space-group type: No. 47
* total magnetic moment: 0.000 μB per formula unit
* formation energy from the elements: 0.207 eV/atom
* ΔE to the lowest computed polymorph: 0.094 eV/atom

---

A plane-wave DFT calculation with GGA-PBE was carried out for a relaxed Li2IrOs crystal.

a b c (Å): 4.3092 2.6738 4.8382
angles (deg): 89.83 90.00 90.00
With the nearest neighbours (Å) after each atom.
Positions (direct):
1 Ir 0.5000 0.8738 0.6939  4 Os 2.62, 2 Ir 2.67, 6 Li 2.75-2.77
2 Os 0.0000 0.3752 0.5589  4 Ir 2.62, 2 Os 2.67, 6 Li 2.74-2.79
3 Li 0.0000 0.8768 0.0548  6 Li 2.62-2.67, 4 Os 2.74-2.78, 2 Ir 2.77
4 Li 0.5000 0.3742 0.1924  6 Li 2.62-2.67, 4 Ir 2.75-2.77, 2 Os 2.79

* space-group type: No. 6
* total magnetic moment: 0.000 μB per formula unit
* formation energy from the elements: -0.030 eV/atom
* ΔE to the lowest computed polymorph: 0.038 eV/atom

---

A plane-wave DFT calculation with GGA-PBE was carried out for a relaxed LiIr2Os crystal.

a b c (Å): 4.0181 2.6860 5.2641
angles (deg): 72.82 90.00 90.00
With the nearest neighbours (Å) after each atom.
Positions (direct):
1 Ir 0.0000 0.4005 0.4895  2 Li 2.47, 4 Ir 2.62-2.69, 4 Os 2.75
2 Ir 0.0000 0.0995 0.0105  2 Li 2.47, 4 Ir 2.62-2.69, 4 Os 2.75
3 Li 0.5000 0.2500 0.2500  4 Ir 2.47, 2 Os 2.58, 2 Li 2.69
4 Os 0.5000 0.7500 0.7500  2 Li 2.58, 2 Os 2.69, 8 Ir 2.75

* space-group type: No. 10
* total magnetic moment: 0.000 μB per formula unit
* formation energy from the elements: 0.047 eV/atom
* ΔE to the lowest computed polymorph: 0.071 eV/atom

---

A plane-wave DFT calculation with GGA-PBE was carried out for a relaxed LiIr2Os crystal.

a b c (Å): 4.2785 4.2785 4.2787
angles (deg): 60.00 60.00 60.00
With the nearest neighbours (Å) after each atom.
Positions (direct):
1 Li 0.7499 0.7499 0.7502  4 Os 2.62, 4 Ir 2.62
2 Os 0.5000 0.5000 0.5000  4 Li 2.62, 4 Ir 2.62
3 Ir 0.2500 0.2500 0.2499  4 Ir 2.62, 4 Os 2.62
4 Ir 0.0000 0.0000 0.9999  4 Li 2.62, 4 Ir 2.62

* space-group type: No. 216
* total magnetic moment: 0.000 μB per formula unit
* formation energy from the elements: 0.275 eV/atom
* ΔE to the lowest computed polymorph: 0.299 eV/atom

---

A plane-wave DFT calculation with GGA-PBE was carried out for a relaxed LiIr2Os crystal.

a b c (Å): 2.6891 2.6891 9.0881
angles (deg): 90.00 90.00 118.55
With the nearest neighbours (Å) after each atom.
Positions (direct):
1 Ir 0.0000 0.0000 0.4966  2 Li 2.63, 2 Os 2.68, 6 Ir 2.69-2.75
2 Ir 0.0000 0.0000 0.0034  2 Li 2.63, 2 Os 2.68, 6 Ir 2.69-2.75
3 Li 0.5000 0.5000 0.2500  4 Ir 2.63, 6 Li 2.69-2.75
4 Os 0.5000 0.5000 0.7500  4 Ir 2.68, 6 Os 2.69-2.75

* space-group type: No. 65
* total magnetic moment: 0.000 μB per formula unit
* formation energy from the elements: 0.231 eV/atom
* ΔE to the lowest computed polymorph: 0.255 eV/atom